VASP calculation (SCAN) on a crystal of ScNbPS2 relaxed with PBEsol.

The space-group type is P4/mmm (123). The total magnetization comes out at 0.0 μB/cell. As for the calculated volume: 21.14 Å³ per atom. The uncorrected formation energy comes out at -0.4786 eV/atom. Its calculated density is 3659 kg/m3.

abc: 4.660 4.660 4.869
angles: 90.00 90.00 90.00
Atoms (fractional coordinates):
S: 0.500 0.000 0.000
P: 0.000 0.000 0.500
S: 0.000 0.500 0.000
Sc: 0.500 0.500 0.500
Nb: 0.000 0.000 0.000

---

VASP calculation (SCAN) on a crystal of SrNbP2S relaxed with PBEsol.

The space-group type is P4/mmm (123). The total magnetization comes out at 0.0 μB/cell. As for the calculated volume: 22.51 Å³ per atom. The uncorrected formation energy comes out at -0.7971 eV/atom. Its calculated density is 4050 kg/m3.

abc: 4.816 4.816 4.853
angles: 90.00 90.00 90.00
Atoms (fractional coordinates):
S: 0.000 0.000 0.500
P: 0.500 0.000 0.000
Nb: 0.000 0.000 0.000
P: 0.000 0.500 0.000
Sr: 0.500 0.500 0.500

---

VASP calculation (SCAN) on a crystal of NbTePS2 relaxed with PBEsol.

The space-group type is P4/mmm (123). The total magnetization comes out at 0.8 μB/cell. As for the calculated volume: 22.05 Å³ per atom. The uncorrected formation energy comes out at 0.0903 eV/atom. Its calculated density is 4754 kg/m3.

abc: 4.649 4.649 5.101
angles: 90.00 90.00 90.00
Atoms (fractional coordinates):
Nb: 0.000 0.000 0.000
P: 0.000 0.000 0.500
S: 0.000 0.500 0.000
Te: 0.500 0.500 0.500
S: 0.500 0.000 0.000

---

VASP calculation (SCAN) on a crystal of NbTlPS2 relaxed with PBEsol.

The space-group type is P4/mmm (123). The total magnetization comes out at 0.0 μB/cell. As for the calculated volume: 22.53 Å³ per atom. The uncorrected formation energy comes out at -0.3199 eV/atom. Its calculated density is 5784 kg/m3.

abc: 4.793 4.793 4.903
angles: 90.00 90.00 90.00
Atoms (fractional coordinates):
S: 0.000 0.500 0.000
Tl: 0.500 0.500 0.500
S: 0.500 0.000 0.000
Nb: 0.000 0.000 0.000
P: 0.000 0.000 0.500

---

VASP calculation (SCAN) on a crystal of YNbP2S relaxed with PBEsol.

The space-group type is P4/mmm (123). The total magnetization comes out at 0.0 μB/cell. As for the calculated volume: 21.35 Å³ per atom. The uncorrected formation energy comes out at -0.5957 eV/atom. Its calculated density is 4290 kg/m3.

abc: 4.680 4.776 4.776
angles: 90.00 90.00 90.00
Atoms (fractional coordinates):
P: 0.000 0.000 0.500
Y: 0.500 0.500 0.500
Nb: 0.000 0.000 0.000
S: 0.500 0.000 0.000
P: 0.000 0.500 0.000

---

VASP calculation (SCAN) on a crystal of NbZnP2S relaxed with PBEsol.

The space-group type is P4/mmm (123). The total magnetization comes out at 0.0 μB/cell. As for the calculated volume: 21.78 Å³ per atom. The uncorrected formation energy comes out at 0.3419 eV/atom. Its calculated density is 3848 kg/m3.

abc: 4.681 4.823 4.823
angles: 90.00 90.00 90.00
Atoms (fractional coordinates):
Nb: 0.000 0.000 0.000
Zn: 0.500 0.500 0.500
S: 0.500 0.000 0.000
P: 0.000 0.000 0.500
P: 0.000 0.500 0.000

---

VASP calculation (SCAN) on a crystal of NbSbTe2P relaxed with PBEsol.

The space-group type is P4/mmm (123). The total magnetization comes out at 2.1 μB/cell. As for the calculated volume: 25.51 Å³ per atom. The uncorrected formation energy comes out at 0.8398 eV/atom. Its calculated density is 6521 kg/m3.

abc: 5.056 5.022 5.022
angles: 90.00 90.00 90.00
Atoms (fractional coordinates):
Te: 0.000 0.000 0.500
P: 0.000 0.000 0.000
Te: 0.000 0.500 0.000
Sb: 0.500 0.000 0.000
Nb: 0.500 0.500 0.500

---

VASP calculation (SCAN) on a crystal of ScNbP2 relaxed with PBEsol.

The formation energy comes out at -0.730 eV per atom. The space-group type is Fm-3m (225). The total magnetization comes out at 0.0 μB/cell. As for the calculated volume: 15.49 Å³ per atom. Its calculated density is 5355 kg/m3.

abc: 4.442 4.442 4.442
angles: 60.00 60.00 60.00
Atoms (fractional coordinates):
Nb: 0.500 0.500 0.500
P: 0.250 0.250 0.250
P: 0.750 0.750 0.750
Sc: 0.000 0.000 0.000

---

VASP calculation (SCAN) on a crystal of NbPSe2 relaxed with PBEsol.

The space-group type is I-42d (122). The total magnetization comes out at 0.0 μB/cell. As for the calculated volume: 24.15 Å³ per atom. The uncorrected formation energy comes out at 0.4078 eV/atom. Its calculated density is 4845 kg/m3.

abc: 6.040 6.803 6.040
angles: 63.65 90.00 116.35
Atoms (fractional coordinates):
Se: 0.636 0.750 0.375
Nb: 0.750 0.500 0.750
Nb: 0.000 0.000 0.000
Se: 0.875 0.250 0.636
Se: 0.114 0.750 0.875
P: 0.250 0.500 0.250
P: 0.500 0.000 0.500
Se: 0.375 0.250 0.114

---

VASP calculation (SCAN) on a crystal of NbPSe2 relaxed with PBEsol.

The space-group type is R-3m (166). The total magnetization comes out at 0.0 μB/cell. As for the calculated volume: 20.09 Å³ per atom. The uncorrected formation energy comes out at -0.1395 eV/atom. Its calculated density is 5822 kg/m3.

abc: 3.292 3.292 8.774
angles: 79.19 79.19 60.00
Atoms (fractional coordinates):
Se: 0.098 0.098 0.705
Nb: 0.500 0.500 0.500
Se: 0.902 0.902 0.295
P: 0.000 0.000 0.000

---

VASP calculation (SCAN) on a crystal of NbSiP2 relaxed with PBEsol.

The space-group type is I-42d (122). The total magnetization comes out at 0.0 μB/cell. As for the calculated volume: 19.45 Å³ per atom. The uncorrected formation energy comes out at -0.0293 eV/atom. Its calculated density is 3904 kg/m3.

abc: 5.673 6.283 5.673
angles: 116.84 90.00 116.84
Atoms (fractional coordinates):
Si: 0.750 0.500 0.250
P: 0.125 0.750 0.597
P: 0.403 0.250 0.375
Nb: 0.000 0.000 0.000
P: 0.847 0.250 0.875
Si: 0.500 0.000 0.500
P: 0.625 0.750 0.153
Nb: 0.250 0.500 0.750

---

VASP calculation (SCAN) on a crystal of NbSn3P relaxed with PBEsol.

The formation energy comes out at 1.018 eV per atom. The space-group type is Pm-3m (221). The total magnetization comes out at 3.7 μB/cell. As for the calculated volume: 25.06 Å³ per atom. Its calculated density is 6361 kg/m3.

abc: 5.004 5.004 5.004
angles: 90.00 90.00 90.00
Atoms (fractional coordinates):
Nb: 0.500 0.500 0.500
P: 0.000 0.000 0.000
Sn: 0.500 0.000 0.000
Sn: 0.000 0.000 0.500
Sn: 0.000 0.500 0.000